*w*
# BeCdSb2

Crystalline BeCdSb2 at its relaxed geometry (PBE-GGA, the Alexandria database).

Cell lengths 3.498, 3.498, 7.880 Å; angles 90.00, 90.00, 105.41 degrees
Element x y z (fractional)
Sb  0.000  0.000  0.964
Sb  0.500  0.500  0.332
Be  0.000  0.000  0.495
Cd  0.500  0.500  0.709

Size of the total moment (μB/atom): 0.000

*x*
# BeCdSb2

Crystalline BeCdSb2 at its relaxed geometry (PBE-GGA, the Alexandria database).

Cell lengths 5.607, 5.607, 5.607 Å; angles 140.11, 121.77, 72.92 degrees
Element x y z (fractional)
Sb  0.933  0.933  0.000
Sb  0.567  0.567  0.000
Be  0.750  0.250  0.500
Cd  0.250  0.750  0.500

Size of the total moment (μB/atom): 0.000

Which structure loses on stability? *w* does.

*w*
# Be2CdSb

Crystalline Be2CdSb at its relaxed geometry (PBE-GGA, the Alexandria database).

Cell lengths 7.703, 7.703, 7.703 Å; angles 24.46, 24.46, 24.46 degrees
Element x y z (fractional)
Sb  0.750  0.750  0.750
Be  0.000  0.000  0.000
Be  0.500  0.500  0.500
Cd  0.250  0.250  0.250

Size of the total moment (μB/atom): 0.000

*x*
# Be2CdSb

Crystalline Be2CdSb at its relaxed geometry (PBE-GGA, the Alexandria database).

Cell lengths 3.896, 4.874, 3.656 Å; angles 90.00, 90.00, 90.00 degrees
Element x y z (fractional)
Sb  0.000  0.500  0.500
Be  0.000  0.000  0.000
Be  0.500  0.500  0.000
Cd  0.500  0.000  0.500

Size of the total moment (μB/atom): 0.000

*y*
# Be2CdSb

Crystalline Be2CdSb at its relaxed geometry (PBE-GGA, the Alexandria database).

Cell lengths 3.774, 3.774, 6.119 Å; angles 83.87, 83.87, 59.96 degrees
Element x y z (fractional)
Sb  0.352  0.352  0.132
Be  0.040  0.040  0.885
Be  0.708  0.708  0.881
Cd  0.400  0.400  0.602

Size of the total moment (μB/atom): 0.000

*z*
# Be2CdSb

Crystalline Be2CdSb at its relaxed geometry (PBE-GGA, the Alexandria database).

Cell lengths 3.891, 3.803, 4.938 Å; angles 66.92, 90.00, 90.00 degrees
Element x y z (fractional)
Sb  0.500  0.763  0.846
Be  0.000  0.193  0.994
Be  0.500  0.066  0.240
Cd  0.000  0.478  0.421

Size of the total moment (μB/atom): 0.000

Which structure loses on stability? *x* does.

*w*
# Be2CdSb

Crystalline Be2CdSb at its relaxed geometry (PBE-GGA, the Alexandria database).

Cell lengths 4.585, 4.585, 5.864 Å; angles 68.32, 68.32, 39.34 degrees
Element x y z (fractional)
Sb  0.250  0.250  0.250
Be  0.984  0.984  0.908
Be  0.516  0.516  0.592
Cd  0.750  0.750  0.750

Size of the total moment (μB/atom): 0.000

*x*
# Be2CdSb

Crystalline Be2CdSb at its relaxed geometry (PBE-GGA, the Alexandria database).

Cell lengths 3.606, 5.574, 5.241 Å; angles 41.81, 90.00, 90.00 degrees
Element x y z (fractional)
Sb  0.000  0.000  0.500
Be  0.000  0.000  0.000
Be  0.500  0.500  0.000
Cd  0.500  0.500  0.500

Size of the total moment (μB/atom): 0.000

Which structure loses on stability? *x* does.

*w*
# Be2CdSb

Crystalline Be2CdSb at its relaxed geometry (PBE-GGA, the Alexandria database).

Cell lengths 3.128, 3.128, 7.327 Å; angles 90.00, 90.00, 94.19 degrees
Element x y z (fractional)
Sb  0.500  0.500  0.837
Be  0.000  0.000  0.059
Be  0.500  0.500  0.189
Cd  0.000  0.000  0.415

Size of the total moment (μB/atom): 0.000

*x*
# Be2CdSb

Crystalline Be2CdSb at its relaxed geometry (PBE-GGA, the Alexandria database).

Cell lengths 5.518, 5.518, 5.518 Å; angles 139.74, 139.74, 58.24 degrees
Element x y z (fractional)
Sb  0.750  0.250  0.500
Be  0.000  0.000  0.000
Be  0.250  0.750  0.500
Cd  0.500  0.500  0.000

Size of the total moment (μB/atom): 0.000

*y*
# Be2CdSb

Crystalline Be2CdSb at its relaxed geometry (PBE-GGA, the Alexandria database).

Cell lengths 6.319, 6.319, 6.319 Å; angles 146.55, 147.81, 47.10 degrees
Element x y z (fractional)
Sb  0.250  0.750  0.500
Be  0.916  0.916  0.000
Be  0.818  0.318  0.500
Cd  0.515  0.515  0.000

Size of the total moment (μB/atom): 0.000

*z*
# Be2CdSb

Crystalline Be2CdSb at its relaxed geometry (PBE-GGA, the Alexandria database).

Cell lengths 4.855, 4.855, 4.855 Å; angles 132.94, 120.72, 78.93 degrees
Element x y z (fractional)
Sb  0.250  0.750  0.500
Be  0.005  0.005  0.000
Be  0.495  0.495  0.000
Cd  0.750  0.250  0.500

Size of the total moment (μB/atom): 0.000

Which structure loses on stability? *z* does.

*w*
# Be2CdSb

Crystalline Be2CdSb at its relaxed geometry (PBE-GGA, the Alexandria database).

Cell lengths 4.868, 4.868, 3.012 Å; angles 89.97, 89.97, 104.75 degrees
Element x y z (fractional)
Sb  0.000  0.500  0.500
Be  0.000  0.000  0.000
Be  0.500  0.500  0.000
Cd  0.500  0.000  0.500

Size of the total moment (μB/atom): 0.000

*x*
# Be2CdSb

Crystalline Be2CdSb at its relaxed geometry (PBE-GGA, the Alexandria database).

Cell lengths 4.701, 4.701, 4.701 Å; angles 60.00, 60.00, 60.00 degrees
Element x y z (fractional)
Sb  0.750  0.750  0.750
Be  0.000  0.000  0.000
Be  0.250  0.250  0.250
Cd  0.500  0.500  0.500

Size of the total moment (μB/atom): 0.000

Which structure loses on stability? *x* does.

*w*
# Be2CdSb

Crystalline Be2CdSb at its relaxed geometry (PBE-GGA, the Alexandria database).

Cell lengths 4.628, 4.628, 4.628 Å; angles 60.00, 60.00, 60.00 degrees
Element x y z (fractional)
Sb  0.500  0.500  0.500
Be  0.250  0.250  0.250
Be  0.750  0.750  0.750
Cd  0.000  0.000  0.000

Size of the total moment (μB/atom): 0.000

*x*
# Be2CdSb

Crystalline Be2CdSb at its relaxed geometry (PBE-GGA, the Alexandria database).

Cell lengths 5.912, 5.912, 6.770 Å; angles 64.11, 64.11, 90.00 degrees
Element x y z (fractional)
Sb  0.000  0.000  0.000
Sb  0.750  0.250  0.500
Be  0.656  0.125  0.250
Be  0.094  0.625  0.250
Be  0.375  0.344  0.750
Be  0.875  0.906  0.750
Cd  0.500  0.500  0.000
Cd  0.250  0.750  0.500

Size of the total moment (μB/atom): 0.000

Which structure loses on stability? *w* does.

*w*
# Be3CdSb

Crystalline Be3CdSb at its relaxed geometry (PBE-GGA, the Alexandria database).

Cell lengths 4.506, 4.506, 4.506 Å; angles 90.00, 90.00, 90.00 degrees
Element x y z (fractional)
Sb  0.500  0.500  0.500
Be  0.000  0.500  0.000
Be  0.000  0.000  0.500
Be  0.500  0.000  0.000
Cd  0.000  0.000  0.000

Size of the total moment (μB/atom): 0.000

*x*
# Be3CdSb

Crystalline Be3CdSb at its relaxed geometry (PBE-GGA, the Alexandria database).

Cell lengths 4.746, 4.746, 4.746 Å; angles 90.00, 90.00, 90.00 degrees
Element x y z (fractional)
Sb  0.000  0.000  0.000
Be  0.000  0.500  0.000
Be  0.000  0.000  0.500
Be  0.500  0.000  0.000
Cd  0.500  0.500  0.500

Size of the total moment (μB/atom): 0.000

Which structure loses on stability? *x* does.

*w*
# BeCdSb2Te

Crystalline BeCdSb2Te at its relaxed geometry (PBE-GGA, the Alexandria database).

Cell lengths 4.960, 4.960, 5.170 Å; angles 90.00, 90.00, 90.00 degrees
Element x y z (fractional)
Sb  0.000  0.500  0.000
Sb  0.500  0.000  0.000
Te  0.000  0.000  0.500
Be  0.000  0.000  0.000
Cd  0.500  0.500  0.500

Size of the total moment (μB/atom): 0.000

*x*
# BeCdSb2Te

Crystalline BeCdSb2Te at its relaxed geometry (PBE-GGA, the Alexandria database).

Cell lengths 5.498, 5.498, 5.621 Å; angles 90.00, 90.00, 90.00 degrees
Element x y z (fractional)
Sb  0.000  0.500  0.000
Sb  0.500  0.000  0.000
Te  0.000  0.000  0.500
Be  0.500  0.500  0.500
Cd  0.000  0.000  0.000

Size of the total moment (μB/atom): 0.000

Which structure loses on stability? *x* does.